No. 1
A relaxed structure of CsCuBRu2. Source: the Alexandria database, functional PBE.

Calculated values
- E_form (kJ/mol of atoms) = 234.84

Unit cell a=4.578 b=5.812 c=4.578 alpha=90.00 beta=90.00 gamma=90.00
Each line ends with the local moment (μB).
Sites, in units of the cell vectors:
Cs  0.000  0.500  0.000  -0.05
Ru  0.000  0.000  0.500  2.20
Ru  0.500  0.000  0.000  1.39
B  0.500  0.500  0.500  -0.28
Cu  0.000  0.000  0.000  0.24

***

No. 2
A relaxed structure of Pm4ThBi2. Source: the Alexandria database, functional PBE.

Calculated values
- E_form (kJ/mol of atoms) = 29.98

Unit cell a=5.648 b=5.648 c=9.463 alpha=107.36 beta=107.36 gamma=90.00
Sites, in units of the cell vectors:
Pm  0.815  0.815  0.631
Pm  0.185  0.185  0.369
Pm  0.000  0.500  0.000
Pm  0.500  0.000  0.000
Th  0.000  0.000  0.000
Bi  0.632  0.632  0.263
Bi  0.368  0.368  0.737

***

No. 3
A relaxed structure of PrErSnHg. Source: the Alexandria database, functional PBE.

Calculated values
- E_form (kJ/mol of atoms) = -54.07

Unit cell a=5.370 b=5.370 c=5.370 alpha=60.00 beta=60.00 gamma=60.00
Sites, in units of the cell vectors:
Pr  0.500  0.500  0.500
Hg  0.750  0.750  0.750
Sn  0.250  0.250  0.250
Er  0.000  0.000  0.000

***

No. 4
A relaxed structure of LiFe2Au2. Source: the Alexandria database, functional PBE.

Calculated values
- E_form (kJ/mol of atoms) = 4.73

Unit cell a=7.713 b=7.713 c=2.742 alpha=90.00 beta=90.00 gamma=90.00
Each line ends with the local moment (μB).
Sites, in units of the cell vectors:
Au  0.185  0.685  0.500  0.10
Au  0.685  0.815  0.500  0.09
Au  0.815  0.315  0.500  0.10
Au  0.315  0.185  0.500  0.09
Fe  0.392  0.892  0.000  2.83
Fe  0.892  0.608  0.000  2.85
Fe  0.608  0.108  0.000  2.83
Fe  0.108  0.392  0.000  2.85
Li  0.000  0.000  0.000  -0.02
Li  0.500  0.500  0.000  -0.02

***

| no. | calculated density (g/cm³) |
| --- | --- |
| 1 | 5.6 |
| 2 | 7.5 |
| 3 | 9.5 |
| 4 | 10.4 |